1.
## DyAuF (PBE-GGA)

Data for a relaxed structure of DyAuF.

a = 3.881 Å, b = 3.881 Å, c = 9.660 Å
α = 90.00°, β = 90.00°, γ = 120.00°
Atoms (fractional coordinates):
Dy 0.333 0.667 0.321
Dy 0.667 0.333 0.679
Au 0.000 0.000 0.140
Au 0.000 0.000 0.860
F 0.333 0.667 0.570
F 0.667 0.333 0.430

The density of states at the Fermi level is 0.411 states/eV/atom. Its total DFT energy (no corrections) is -5.236 eV per atom. The calculation puts the density at 10.0 g/cm3. The formation energy (no corrections) comes out at -1.986 eV per atom. As for the crystal system: trigonal. As for the magnetization: 0.00 μB per atom.

2.
## Na2MgCoH6 (PBE-GGA)

Data for a relaxed structure of Na2MgCoH6.

a = 5.104 Å, b = 5.104 Å, c = 4.851 Å
α = 90.00°, β = 90.00°, γ = 120.00°
Atoms (fractional coordinates):
Na 0.333 0.667 0.346
Na 0.667 0.333 0.654
Mg 0.000 0.000 0.000
Co 0.000 0.000 0.500
H 0.148 0.297 0.690
H 0.148 0.852 0.690
H 0.297 0.148 0.310
H 0.703 0.852 0.690
H 0.852 0.148 0.310
H 0.852 0.703 0.310

The density of states at the Fermi level is 0.221 states/eV/atom. Its total DFT energy (no corrections) is -3.348 eV per atom. The calculation puts the density at 2.1 g/cm3. As for the crystal system: trigonal. As for the magnetization: 0.00 μB per atom.

3.
## Rb2GaTeO6 (PBE-GGA)

Data for a relaxed structure of Rb2GaTeO6.

a = 10.173 Å, b = 10.173 Å, c = 10.173 Å
α = 34.01°, β = 34.01°, γ = 34.01°
Atoms (fractional coordinates):
Rb 0.129 0.129 0.129
Rb 0.281 0.281 0.281
Rb 0.719 0.719 0.719
Rb 0.871 0.871 0.871
Ga 0.403 0.403 0.403
Ga 0.597 0.597 0.597
Te 0.000 0.000 0.000
Te 0.500 0.500 0.500
O 0.169 0.600 0.600
O 0.197 0.197 0.724
O 0.197 0.724 0.197
O 0.276 0.803 0.803
O 0.400 0.400 0.831
O 0.400 0.831 0.400
O 0.600 0.169 0.600
O 0.600 0.600 0.169
O 0.724 0.197 0.197
O 0.803 0.276 0.803
O 0.803 0.803 0.276
O 0.831 0.400 0.400

The density of states at the Fermi level is 0.590 states/eV/atom. Its total DFT energy (no corrections) is -5.048 eV per atom. The calculation puts the density at 5.3 g/cm3. The formation energy (no corrections) comes out at -1.263 eV per atom. As for the crystal system: trigonal. As for the magnetization: 0.11 μB per atom.

- What is the magnetization in the second record?
  0.00 μB per atom

- density of states at the Fermi level of number 3 (Rb2GaTeO6)?
  0.590 states/eV/atom

- The highest total DFT energy (no corrections) belongs to which entry?
  Na2MgCoH6